# 1
A relaxed MnNbCoHSe crystal, computed with GGA-PBE.

POSCAR file:
```
MnNbCoHSe
1.0
-1.3919 1.7428 3.1289
2.3585 -3.2555 0.8151
2.5279 3.5327 -1.2805
Mn Co Se H Nb
1 1 1 1 1
Direct
0.7793 0.7213 0.9890
0.5778 0.2882 0.3412
0.1152 0.3723 0.0330
0.7672 0.0168 0.3842
0.3356 0.8587 0.6564
```

Properties
V = 11.78 Å³/atom
DFT total energy = -6.633 eV per atom
energy above the most stable polymorph in this dataset = 131 meV/atom
SG = P1, No. 1

# 2
A relaxed Cu3HgPb crystal, computed with GGA-PBE.

POSCAR file:
```
Cu3HgPb
1.0
4.8737 0.0000 0.0000
0.0000 4.8737 0.0000
0.0000 0.0000 4.8737
Cu Pb Hg
3 1 1
Direct
0.0000 0.5000 0.0000
0.5000 0.0000 0.0000
0.0000 0.0000 0.5000
0.5000 0.5000 0.5000
0.0000 0.0000 0.0000
```

Properties
V = 23.15 Å³/atom
DFT total energy = -2.581 eV per atom
energy above the most stable polymorph in this dataset = 0 meV/atom
formation enthalpy at 0 K = 0.68 eV per atom
SG = Pm-3m, No. 221

# 3
A relaxed NdDy2Mg9 crystal, computed with GGA-PBE.

POSCAR file:
```
NdDy2Mg9
1.0
-5.3422 -2.8207 0.3166
-0.3876 -5.4652 2.5647
-3.6085 1.4284 9.6330
Dy Mg Nd
2 9 1
Direct
0.1440 0.1440 0.5681
0.8560 0.8560 0.4319
0.5871 0.5871 0.7462
0.3341 0.3341 0.9978
0.4129 0.4129 0.2538
0.5871 0.0796 0.7462
0.6659 0.6659 0.0022
0.9204 0.4129 0.2538
0.4129 0.9204 0.2538
0.0796 0.5871 0.7462
0.5000 0.5000 0.5000
0.0000 0.0000 0.0000
```

Properties
V = 25.83 Å³/atom
DFT total energy = -2.412 eV per atom
formation enthalpy at 0 K = -0.05 eV per atom
SG = R-3m, No. 166

# 4
A relaxed Hf3MnTc2 crystal, computed with GGA-PBE.

POSCAR file:
```
Hf3MnTc2
1.0
3.2747 0.0000 0.0000
0.0000 3.2747 0.0000
0.0000 0.0000 9.6707
Tc Hf Mn
2 3 1
Direct
0.5000 0.5000 0.1721
0.5000 0.5000 0.8279
0.0000 0.0000 0.3310
0.0000 0.0000 0.6690
0.0000 0.0000 0.0000
0.5000 0.5000 0.5000
```

Properties
V = 17.28 Å³/atom
DFT total energy = -10.325 eV per atom
formation enthalpy at 0 K = -0.36 eV per atom
SG = P4/mmm, No. 123

# 5
A relaxed K2RbYCl6 crystal, computed with GGA-PBE.

POSCAR file:
```
K2RbYCl6
1.0
-7.9389 -1.0943 -1.2198
-2.8468 -7.3758 -1.7901
-4.4138 -4.0724 5.4448
Cl Y K Rb
6 1 2 1
Direct
0.2299 0.7701 0.7701
0.7701 0.2299 0.7701
0.2299 0.7701 0.2299
0.2299 0.2299 0.7701
0.7701 0.7701 0.2299
0.7701 0.2299 0.2299
0.0000 0.0000 0.0000
0.2500 0.2500 0.2500
0.7500 0.7500 0.7500
0.5000 0.5000 0.5000
```

Properties
V = 37.67 Å³/atom
DFT total energy = -4.107 eV per atom
energy above the most stable polymorph in this dataset = 89 meV/atom
SG = Fm-3m, No. 225
formation energy from raw total energies = -20.362 eV/f.u.

# 6
A relaxed CsPF2 crystal, computed with GGA-PBE.

POSCAR file:
```
CsPF2
1.0
0.0000 3.4581 3.4581
3.4581 0.0000 3.4581
3.4581 3.4581 0.0000
F Cs P
2 1 1
Direct
0.7500 0.7500 0.7500
0.2500 0.2500 0.2500
0.5000 0.5000 0.5000
0.0000 0.0000 0.0000
```

Properties
V = 20.68 Å³/atom
DFT total energy = -3.251 eV per atom
energy above the most stable polymorph in this dataset = 727 meV/atom
SG = Fm-3m, No. 225
formation energy from raw total energies = -2.999 eV/f.u.